## Hg3SO6 (GGA-PBE)

Data for a relaxed structure of Hg3SO6.

Structure (CIF):
```
data_Hg3SO6
_chemical_formula_sum 'Hg6 S2 O12'
_space_group_name_H-M_alt 'P 1'
_space_group_IT_number 1
_space_group_name_Hall 'P 1'
_cell_length_a 7.749
_cell_length_b 7.749
_cell_length_c 6.289
_cell_angle_alpha 90.00
_cell_angle_beta 90.00
_cell_angle_gamma 98.57
loop_
_atom_site_label
_atom_site_fract_x
_atom_site_fract_y
_atom_site_fract_z
_atom_site_occupancy
Hg1 0.056 0.944 0.500 1
Hg2 0.168 0.371 0.425 1
Hg3 0.371 0.168 0.925 1
Hg4 0.629 0.832 0.425 1
Hg5 0.832 0.629 0.925 1
Hg6 0.944 0.056 0.000 1
S1 0.319 0.681 0.738 1
S2 0.681 0.319 0.238 1
O1 0.152 0.165 0.745 1
O2 0.158 0.600 0.603 1
O3 0.165 0.152 0.245 1
O4 0.252 0.748 0.931 1
O5 0.400 0.842 0.603 1
O6 0.443 0.557 0.760 1
O7 0.557 0.443 0.260 1
O8 0.600 0.158 0.103 1
O9 0.748 0.252 0.431 1
O10 0.835 0.848 0.745 1
O11 0.842 0.400 0.103 1
O12 0.848 0.835 0.245 1
```

## Properties
E above lowest polymorph (meV per atom): 85
ΔE_f (raw) (eV/f.u.): -6.84

## BaEu2Ho (GGA-PBE)

Data for a relaxed structure of BaEu2Ho.

Structure (CIF):
```
data_BaEu2Ho
_chemical_formula_sum 'Ba1 Eu2 Ho1'
_space_group_name_H-M_alt 'P 1'
_space_group_IT_number 1
_space_group_name_Hall 'P 1'
_cell_length_a 6.221
_cell_length_b 6.221
_cell_length_c 4.355
_cell_angle_alpha 90.00
_cell_angle_beta 90.00
_cell_angle_gamma 90.00
loop_
_atom_site_label
_atom_site_fract_x
_atom_site_fract_y
_atom_site_fract_z
_atom_site_occupancy
Ba1 0.000 0.000 0.000 1
Eu1 0.000 0.500 0.500 1
Eu2 0.500 0.000 0.500 1
Ho1 0.500 0.500 0.000 1
```

## Properties
E above lowest polymorph (meV per atom): 82
Formation energy (kJ/mol of formula units): 74

## Li2CdAsPt (GGA-PBE)

Data for a relaxed structure of Li2CdAsPt.

Structure (CIF):
```
data_Li2CdAsPt
_chemical_formula_sum 'Li2 Cd1 As1 Pt1'
_space_group_name_H-M_alt 'P 1'
_space_group_IT_number 1
_space_group_name_Hall 'P 1'
_cell_length_a 4.985
_cell_length_b 4.985
_cell_length_c 4.594
_cell_angle_alpha 90.00
_cell_angle_beta 90.00
_cell_angle_gamma 90.00
loop_
_atom_site_label
_atom_site_fract_x
_atom_site_fract_y
_atom_site_fract_z
_atom_site_occupancy
Li1 0.000 0.500 0.000 1
Li2 0.500 0.000 0.000 1
Cd1 0.000 0.000 0.500 1
As1 0.500 0.500 0.500 1
Pt1 0.500 0.500 0.000 1
```

## Properties
Formation energy (kJ/mol of formula units): -102

## Pr2Nd5ErSc (GGA-PBE)

Data for a relaxed structure of Pr2Nd5ErSc.

Structure (CIF):
```
data_Pr2Nd5ErSc
_chemical_formula_sum 'Pr4 Nd10 Er2 Sc2'
_space_group_name_H-M_alt 'P 1'
_space_group_IT_number 1
_space_group_name_Hall 'P 1'
_cell_length_a 10.482
_cell_length_b 10.482
_cell_length_c 10.482
_cell_angle_alpha 132.39
_cell_angle_beta 132.39
_cell_angle_gamma 69.61
loop_
_atom_site_label
_atom_site_fract_x
_atom_site_fract_y
_atom_site_fract_z
_atom_site_occupancy
Pr1 0.126 0.626 0.751 1
Pr2 0.374 0.126 0.500 1
Pr3 0.626 0.874 0.500 1
Pr4 0.874 0.374 0.249 1
Nd1 0.000 0.000 0.000 1
Nd2 0.073 0.133 0.500 1
Nd3 0.133 0.633 0.060 1
Nd4 0.367 0.427 0.500 1
Nd5 0.427 0.927 0.060 1
Nd6 0.500 0.500 0.000 1
Nd7 0.573 0.073 0.940 1
Nd8 0.633 0.573 0.500 1
Nd9 0.867 0.367 0.940 1
Nd10 0.927 0.867 0.500 1
Er1 0.250 0.250 0.000 1
Er2 0.750 0.750 0.000 1
Sc1 0.250 0.750 0.500 1
Sc2 0.750 0.250 0.500 1
```

## Properties
Formation energy (kJ/mol of formula units): 236

## NdDyPu2N4 (GGA-PBE)

Data for a relaxed structure of NdDyPu2N4.

Structure (CIF):
```
data_NdDyPu2N4
_chemical_formula_sum 'Nd1 Dy1 Pu2 N4'
_space_group_name_H-M_alt 'P 1'
_space_group_IT_number 1
_space_group_name_Hall 'P 1'
_cell_length_a 6.084
_cell_length_b 3.511
_cell_length_c 6.098
_cell_angle_alpha 90.00
_cell_angle_beta 110.00
_cell_angle_gamma 90.00
loop_
_atom_site_label
_atom_site_fract_x
_atom_site_fract_y
_atom_site_fract_z
_atom_site_occupancy
Nd1 0.000 0.000 0.000 1
Dy1 0.000 0.500 0.500 1
Pu1 0.500 0.000 0.500 1
Pu2 0.500 0.500 0.000 1
N1 0.264 0.000 0.750 1
N2 0.270 0.500 0.271 1
N3 0.730 0.500 0.729 1
N4 0.736 0.000 0.250 1
```

## Properties
ΔE_f (raw) (eV/f.u.): -10.79

## Ba3In6Au5 (GGA-PBE)

Data for a relaxed structure of Ba3In6Au5.

Structure (CIF):
```
data_Ba3In6Au5
_chemical_formula_sum 'Ba6 In12 Au10'
_space_group_name_H-M_alt 'P 1'
_space_group_IT_number 1
_space_group_name_Hall 'P 1'
_cell_length_a 4.713
_cell_length_b 14.084
_cell_length_c 11.845
_cell_angle_alpha 90.00
_cell_angle_beta 90.00
_cell_angle_gamma 90.00
loop_
_atom_site_label
_atom_site_fract_x
_atom_site_fract_y
_atom_site_fract_z
_atom_site_occupancy
Ba1 0.250 0.093 0.243 1
Ba2 0.250 0.407 0.243 1
Ba3 0.250 0.750 0.261 1
Ba4 0.750 0.250 0.739 1
Ba5 0.750 0.593 0.757 1
Ba6 0.750 0.907 0.757 1
In1 0.250 0.056 0.597 1
In2 0.250 0.250 0.480 1
In3 0.250 0.250 0.981 1
In4 0.250 0.444 0.597 1
In5 0.250 0.578 0.010 1
In6 0.250 0.922 0.010 1
In7 0.750 0.078 0.990 1
In8 0.750 0.422 0.990 1
In9 0.750 0.556 0.403 1
In10 0.750 0.750 0.019 1
In11 0.750 0.750 0.520 1
In12 0.750 0.944 0.403 1
Au1 0.250 0.080 0.844 1
Au2 0.250 0.420 0.844 1
Au3 0.250 0.635 0.521 1
Au4 0.250 0.750 0.889 1
Au5 0.250 0.865 0.521 1
Au6 0.750 0.135 0.479 1
Au7 0.750 0.250 0.111 1
Au8 0.750 0.365 0.479 1
Au9 0.750 0.580 0.156 1
Au10 0.750 0.920 0.156 1
```

## Properties
Formation energy (kJ/mol of formula units): -691

## LiNdHg6 (GGA-PBE)

Data for a relaxed structure of LiNdHg6.

Structure (CIF):
```
data_LiNdHg6
_chemical_formula_sum 'Li1 Nd1 Hg6'
_space_group_name_H-M_alt 'P 1'
_space_group_IT_number 1
_space_group_name_Hall 'P 1'
_cell_length_a 5.075
_cell_length_b 6.659
_cell_length_c 6.659
_cell_angle_alpha 60.08
_cell_angle_beta 90.00
_cell_angle_gamma 90.00
loop_
_atom_site_label
_atom_site_fract_x
_atom_site_fract_y
_atom_site_fract_z
_atom_site_occupancy
Li1 0.000 0.000 0.000 1
Nd1 0.500 0.668 0.668 1
Hg1 0.000 0.011 0.494 1
Hg2 0.000 0.494 0.011 1
Hg3 0.000 0.495 0.495 1
Hg4 0.500 0.162 0.162 1
Hg5 0.500 0.162 0.678 1
Hg6 0.500 0.678 0.162 1
```

## Properties
Formation energy (kJ/mol of formula units): -211

## BaPt2I (GGA-PBE)

Data for a relaxed structure of BaPt2I.

Structure (CIF):
```
data_BaPt2I
_chemical_formula_sum 'Ba2 Pt4 I2'
_space_group_name_H-M_alt 'P 1'
_space_group_IT_number 1
_space_group_name_Hall 'P 1'
_cell_length_a 10.425
_cell_length_b 10.425
_cell_length_c 10.425
_cell_angle_alpha 151.69
_cell_angle_beta 151.69
_cell_angle_gamma 40.46
loop_
_atom_site_label
_atom_site_fract_x
_atom_site_fract_y
_atom_site_fract_z
_atom_site_occupancy
Ba1 0.000 0.000 0.000 1
Ba2 0.750 0.250 0.500 1
Pt1 0.316 0.625 0.191 1
Pt2 0.375 0.566 0.691 1
Pt3 0.434 0.125 0.809 1
Pt4 0.875 0.684 0.309 1
I1 0.250 0.750 0.500 1
I2 0.500 0.500 0.000 1
```

## Properties
E above lowest polymorph (meV per atom): 0
ΔE_f (raw) (eV/f.u.): -1.21

## NiAgSe2 (GGA-PBE)

Data for a relaxed structure of NiAgSe2.

Structure (CIF):
```
data_NiAgSe2
_chemical_formula_sum 'Ni1 Ag1 Se2'
_space_group_name_H-M_alt 'P 1'
_space_group_IT_number 1
_space_group_name_Hall 'P 1'
_cell_length_a 6.219
_cell_length_b 6.219
_cell_length_c 6.219
_cell_angle_alpha 147.13
_cell_angle_beta 138.17
_cell_angle_gamma 54.19
loop_
_atom_site_label
_atom_site_fract_x
_atom_site_fract_y
_atom_site_fract_z
_atom_site_occupancy
Ni1 0.000 0.000 0.000 1
Ag1 0.500 0.500 0.000 1
Se1 0.141 0.641 0.500 1
Se2 0.859 0.359 0.500 1
```

## Properties
E above lowest polymorph (meV per atom): 33
ΔE_f (raw) (eV/f.u.): -0.46

## K2ThAgTe4 (GGA-PBE)

Data for a relaxed structure of K2ThAgTe4.

Structure (CIF):
```
data_K2ThAgTe4
_chemical_formula_sum 'K4 Th2 Ag2 Te8'
_space_group_name_H-M_alt 'P 1'
_space_group_IT_number 1
_space_group_name_Hall 'P 1'
_cell_length_a 9.544
_cell_length_b 9.544
_cell_length_c 9.544
_cell_angle_alpha 122.51
_cell_angle_beta 122.12
_cell_angle_gamma 86.04
loop_
_atom_site_label
_atom_site_fract_x
_atom_site_fract_y
_atom_site_fract_z
_atom_site_occupancy
K1 0.000 0.000 0.000 1
K2 0.500 0.000 0.000 1
K3 0.500 0.000 0.500 1
K4 0.500 0.500 0.500 1
Th1 0.000 0.500 0.500 1
Th2 0.500 0.500 0.000 1
Ag1 0.000 0.000 0.500 1
Ag2 0.000 0.500 0.000 1
Te1 0.175 0.729 0.446 1
Te2 0.217 0.271 0.946 1
Te3 0.258 0.282 0.523 1
Te4 0.258 0.735 0.977 1
Te5 0.742 0.265 0.023 1
Te6 0.742 0.718 0.477 1
Te7 0.783 0.729 0.054 1
Te8 0.825 0.271 0.554 1
```

## Properties
ΔE_f (raw) (eV/f.u.): -6.71

| no. | V (A^3/atom) |
| --- | --- |
| 1 | 18.7 |
| 2 | 42.1 |
| 3 | 22.8 |
| 4 | 34.2 |
| 5 | 15.3 |
| 6 | 28.1 |
| 7 | 24.4 |
| 8 | 31.8 |
| 9 | 21.6 |
| 10 | 37.0 |